The following is a DFT calculation (PBE) of CePmSmHo after structural relaxation. Values from VASP.

Cell and atoms, written as Quantum ESPRESSO input:
```
&SYSTEM
  ibrav = 0, nat = 4, ntyp = 4
/
ATOMIC_SPECIES
Ce 140.12 Ce.upf
Pm 145.00 Pm.upf
Sm 150.36 Sm.upf
Ho 164.93 Ho.upf
ATOMIC_POSITIONS angstrom
Ce 0.000 0.000 0.000
Pm 6.070 6.070 6.070
Sm 2.023 2.023 2.023
Ho 4.047 4.047 4.047
CELL_PARAMETERS angstrom
0.000 4.047 4.047
4.047 0.000 4.047
4.047 4.047 0.000
```

SG: F-43m (216)
Energy of formation from the pure elements, kJ/mol of formula units: 76
Mass density, Mg/m³: 7.5